# Cd2FeAsO6 | Alexandria via LeMat-Bulk | PBE+U | optimized geometry
data_Cd2FeAsO6
_cell_length_a 5.143
_cell_length_b 5.143
_cell_length_c 4.829
_cell_angle_alpha 90.00
_cell_angle_beta 90.00
_cell_angle_gamma 90.00
_symmetry_space_group_name_H-M 'P 4 m m'
_symmetry_Int_Tables_number 99
loop_
_symmetry_equiv_pos_as_xyz
'x,y,z'
'-y,x,z'
'-x,-y,z'
'y,-x,z'
'-x,y,z'
'y,x,z'
'x,-y,z'
'-y,-x,z'
loop_
_atom_site_label
_atom_site_fract_x
_atom_site_fract_y
_atom_site_fract_z
Cd1 0.000 0.500 0.000
Fe1 0.000 0.000 0.547
As1 0.500 0.500 0.573
O1 0.000 0.000 0.163
O2 0.261 0.261 0.684
O3 0.500 0.500 0.212
# * V: 127.7 Å³/f.u.
# * VASP energy: -5.268 eV/atom
# * size of the total moment: 5.02 μB per formula unit